First-principles (PBE-GGA) data for a relaxed TaNbInC crystal, as listed in the Open Quantum Materials Database.

Results
- VASP energy: -8.874 eV/atom
- M_tot: 0.00 μB per formula unit
- Excess energy over the best structure of this formula in the dataset: 0.002 eV/atom
- Mass density: 10.4 g/cm3
- Crystal system: trigonal

Lattice parameters (Å, degrees): 3.1879 3.1879 14.4923 90.00 90.00 120.00
Positions (direct):
C: 0.0000 0.0000 0.0000
C: 0.0000 0.0000 0.5000
In: 0.6667 0.3333 0.7500
In: 0.3333 0.6667 0.2500
Nb: 0.3333 0.6667 0.5830
Nb: 0.6667 0.3333 0.4170
Ta: 0.6667 0.3333 0.0825
Ta: 0.3333 0.6667 0.9175